(1)
YCr2 | PBE | optimized geometry

Cell lengths 5.6510, 4.1276, 10.1340 Å; angles 90.00, 90.00, 90.00 degrees
Atoms (fractional coordinates):
Y (0.1287, 0.2500, 0.1377)
Y (0.3713, 0.7500, 0.6377)
Y (0.6287, 0.2500, 0.3623)
Y (0.8713, 0.7500, 0.8623)
Cr (0.1160, 0.7500, 0.3553)
Cr (0.1310, 0.2500, 0.4581)
Cr (0.3690, 0.7500, 0.9581)
Cr (0.3840, 0.2500, 0.8553)
Cr (0.6160, 0.7500, 0.1447)
Cr (0.6310, 0.2500, 0.0419)
Cr (0.8690, 0.7500, 0.5419)
Cr (0.8840, 0.2500, 0.6447)

Properties
Energy relative to the elements = 439 meV/atom
E_tot = -8.13 eV per atom
Space-group type = No. 62
N(E_F) = 13.98 states/eV/cell
Total moment = 0.24 μB/f.u.



(2)
YCr | PBE | optimized geometry

Cell lengths 9.2935, 9.2935, 9.2935 Å; angles 20.48, 20.48, 20.48 degrees
Atoms (fractional coordinates):
Y (0.1067, 0.1067, 0.1067)
Y (0.8933, 0.8933, 0.8933)
Cr (0.3568, 0.3568, 0.3568)
Cr (0.6432, 0.6432, 0.6432)

Properties
Energy relative to the elements = 599 meV/atom
E_tot = -7.44 eV per atom
Space-group type = No. 166
N(E_F) = 5.68 states/eV/cell
Total moment = 0.00 μB/f.u.



(3)
YCr5 | PBE | optimized geometry

Cell lengths 4.4268, 6.9132, 6.9132 Å; angles 25.64, 90.00, 90.00 degrees
Atoms (fractional coordinates):
Y (0.0000, 0.0000, 0.0000)
Cr (0.0000, 0.3121, 0.3121)
Cr (0.0000, 0.6838, 0.6838)
Cr (0.5000, 0.1671, 0.1671)
Cr (0.5000, 0.4594, 0.4594)
Cr (0.5000, 0.8200, 0.8200)

Properties
Energy relative to the elements = 452 meV/atom
E_tot = -8.64 eV per atom
Space-group type = No. 38
N(E_F) = 4.22 states/eV/cell
Total moment = 2.67 μB/f.u.



(4)
YCr | PBE | optimized geometry

Cell lengths 5.7124, 5.7124, 5.7124 Å; angles 90.00, 90.00, 90.00 degrees
Atoms (fractional coordinates):
Y (0.0881, 0.0881, 0.0881)
Y (0.4119, 0.9119, 0.5881)
Y (0.5881, 0.4119, 0.9119)
Y (0.9119, 0.5881, 0.4119)
Cr (0.1000, 0.6000, 0.9000)
Cr (0.4000, 0.4000, 0.4000)
Cr (0.6000, 0.9000, 0.1000)
Cr (0.9000, 0.1000, 0.6000)

Properties
Energy relative to the elements = 564 meV/atom
E_tot = -7.48 eV per atom
Space-group type = No. 198
N(E_F) = 8.75 states/eV/cell
Total moment = 3.21 μB/f.u.



Q: Which value of total moment does entry 1 give?
A: 0.24 μB/f.u.



Q: Which value of total moment does entry 3 give?
A: 2.67 μB/f.u.



Q: Which of these has the highest energy relative to the elements?
A: number 2



Q: Among the records above, which one has the highest E_tot?
A: number 2